[1]
# Be2TeRh PBE-GGA optimized geometry
# * formation energy from raw total energies: 178 meV per atom
# * total magnetic moment: 0.00 μB/f.u.
# * N(E_F): 0.2848 states/eV per atom
# * electronic total energy: -4.3086 eV/atom
data_Be2TeRh
_chemical_formula_sum 'Be4 Te2 Rh2'
_cell_length_a 5.4612
_cell_length_b 5.8149
_cell_length_c 3.5160
_cell_angle_alpha 90.00
_cell_angle_beta 90.00
_cell_angle_gamma 90.00
_space_group_name_H-M_alt 'C m m m'
_space_group_IT_number 65
_space_group_name_Hall '-C 2 2'
loop_
_atom_site_label
_atom_site_fract_x
_atom_site_fract_y
_atom_site_fract_z
_atom_site_occupancy
Be1 0.2500 0.2500 0.0000 1
Te1 0.0000 0.0000 0.5000 1
Rh1 0.0000 0.5000 0.5000 1

[2]
# MnNbTc2Os PBE-GGA optimized geometry
# * total magnetic moment: 0.00 μB/f.u.
# * energy of formation from the pure elements: 1060 meV/atom
# * N(E_F): 1.1990 states/eV per atom
# * electronic total energy: -9.1798 eV/atom
data_MnNbTc2Os
_chemical_formula_sum 'Mn1 Nb1 Tc2 Os1'
_cell_length_a 4.3672
_cell_length_b 4.3672
_cell_length_c 4.4257
_cell_angle_alpha 90.00
_cell_angle_beta 90.00
_cell_angle_gamma 90.00
_space_group_name_H-M_alt 'P 4/m m m'
_space_group_IT_number 123
_space_group_name_Hall '-P 4 2'
loop_
_atom_site_label
_atom_site_fract_x
_atom_site_fract_y
_atom_site_fract_z
_atom_site_occupancy
Mn1 0.0000 0.0000 0.0000 1
Nb1 0.5000 0.5000 0.5000 1
Tc1 0.0000 0.5000 0.0000 1
Os1 0.0000 0.0000 0.5000 1

[3]
# YCuSb2 PBE-GGA optimized geometry
# * energy relative to the lowest polymorph listed for this composition: 153 meV/atom
# * formation energy from raw total energies: -468 meV per atom
# * total magnetic moment: 0.00 μB/f.u.
# * N(E_F): 0.1867 states/eV per atom
# * electronic total energy: -5.1693 eV/atom
data_YCuSb2
_chemical_formula_sum 'Y2 Cu2 Sb4'
_cell_length_a 11.0092
_cell_length_b 4.4172
_cell_length_c 4.4020
_cell_angle_alpha 90.00
_cell_angle_beta 104.80
_cell_angle_gamma 90.00
_space_group_name_H-M_alt 'C 1 m 1'
_space_group_IT_number 8
loop_
_space_group_symop_operation_xyz
'x,y,z'
'x,-y,z'
'x+1/2,y+1/2,z'
'x+1/2,-y+1/2,z'
loop_
_atom_site_label
_atom_site_fract_x
_atom_site_fract_y
_atom_site_fract_z
_atom_site_occupancy
Y1 0.0000 0.0000 0.0000 1
Cu1 0.2056 0.5000 0.1533 1
Sb1 0.0605 0.5000 0.5392 1
Sb2 0.3094 0.0000 0.0709 1

[4]
# Re2Si2Tc PBE-GGA optimized geometry
# * formation energy from raw total energies: -1 meV per atom
# * total magnetic moment: 0.00 μB/f.u.
# * N(E_F): 1.2259 states/eV per atom
# * electronic total energy: -9.2229 eV/atom
data_Re2Si2Tc
_chemical_formula_sum 'Re4 Si4 Tc2'
_cell_length_a 6.8589
_cell_length_b 6.8589
_cell_length_c 2.9634
_cell_angle_alpha 90.00
_cell_angle_beta 90.00
_cell_angle_gamma 90.00
_space_group_name_H-M_alt 'P 4/m b m'
_space_group_IT_number 127
_space_group_name_Hall '-P 4 2ab'
loop_
_atom_site_label
_atom_site_fract_x
_atom_site_fract_y
_atom_site_fract_z
_atom_site_occupancy
Re1 0.1517 0.3483 0.0000 1
Si1 0.1460 0.6460 0.5000 1
Tc1 0.0000 0.0000 0.5000 1

[5]
# Sm2Tm2Ag3 PBE-GGA optimized geometry
# * total magnetic moment: 0.00 μB/f.u.
# * energy of formation from the pure elements: -157 meV/atom
# * N(E_F): 0.9703 states/eV per atom
# * electronic total energy: -4.0045 eV/atom
data_Sm2Tm2Ag3
_chemical_formula_sum 'Sm2 Tm2 Ag3'
_cell_length_a 5.0742
_cell_length_b 5.0804
_cell_length_c 8.8879
_cell_angle_alpha 73.45
_cell_angle_beta 89.98
_cell_angle_gamma 60.07
_space_group_name_H-M_alt 'P -1'
_space_group_IT_number 2
loop_
_space_group_symop_operation_xyz
'x,y,z'
'-x,-y,-z'
loop_
_atom_site_label
_atom_site_fract_x
_atom_site_fract_y
_atom_site_fract_z
_atom_site_occupancy
Sm1 0.1275 0.2480 0.3781 1
Tm1 0.3757 0.7497 0.1257 1
Ag1 0.0000 0.5000 0.0000 1
Ag2 0.2528 0.9937 0.7596 1

[6]
# CdO PBE-GGA optimized geometry
# * formation energy from raw total energies: -992 meV per atom
# * total magnetic moment: 0.00 μB/f.u.
# * N(E_F): 0.1389 states/eV per atom
# * electronic total energy: -3.9289 eV/atom
data_CdO
_chemical_formula_sum 'Cd4 O4'
_cell_length_a 6.2440
_cell_length_b 6.2440
_cell_length_c 3.6704
_cell_angle_alpha 90.00
_cell_angle_beta 90.00
_cell_angle_gamma 90.00
_space_group_name_H-M_alt 'P 42/m n m'
_space_group_IT_number 136
_space_group_name_Hall '-P 4n 2n'
loop_
_atom_site_label
_atom_site_fract_x
_atom_site_fract_y
_atom_site_fract_z
_atom_site_occupancy
Cd1 0.1850 0.1850 0.0000 1
O1 0.1774 0.8226 0.0000 1

[7]
# TmSc2TlO PBE-GGA optimized geometry
# * formation energy from raw total energies: -1369 meV per atom
# * total magnetic moment: 0.00 μB/f.u.
# * N(E_F): 0.5138 states/eV per atom
# * electronic total energy: -6.2606 eV/atom
data_TmSc2TlO
_chemical_formula_sum 'Tm1 Sc2 Tl1 O1'
_cell_length_a 4.5053
_cell_length_b 4.5053
_cell_length_c 4.6484
_cell_angle_alpha 90.00
_cell_angle_beta 90.00
_cell_angle_gamma 90.00
_space_group_name_H-M_alt 'P 4/m m m'
_space_group_IT_number 123
_space_group_name_Hall '-P 4 2'
loop_
_atom_site_label
_atom_site_fract_x
_atom_site_fract_y
_atom_site_fract_z
_atom_site_occupancy
Tm1 0.0000 0.0000 0.0000 1
Sc1 0.0000 0.5000 0.5000 1
Tl1 0.5000 0.5000 0.0000 1
O1 0.0000 0.0000 0.5000 1

[8]
# Ag3BSb PBE-GGA optimized geometry
# * energy relative to the lowest polymorph listed for this composition: 0 meV/atom
# * formation energy from raw total energies: 537 meV per atom
# * total magnetic moment: 0.00 μB/f.u.
# * N(E_F): 0.5031 states/eV per atom
# * electronic total energy: -3.3342 eV/atom
data_Ag3BSb
_chemical_formula_sum 'Ag3 B1 Sb1'
_cell_length_a 4.5024
_cell_length_b 4.5024
_cell_length_c 4.5024
_cell_angle_alpha 90.00
_cell_angle_beta 90.00
_cell_angle_gamma 90.00
_space_group_name_H-M_alt 'P m -3 m'
_space_group_IT_number 221
_space_group_name_Hall '-P 4 2 3'
loop_
_atom_site_label
_atom_site_fract_x
_atom_site_fract_y
_atom_site_fract_z
_atom_site_occupancy
Ag1 0.0000 0.0000 0.5000 1
B1 0.0000 0.0000 0.0000 1
Sb1 0.5000 0.5000 0.5000 1

[9]
# Nd2Dy2Er5 PBE-GGA optimized geometry
# * energy relative to the lowest polymorph listed for this composition: 17 meV/atom
# * total magnetic moment: 0.00 μB/f.u.
# * energy of formation from the pure elements: 232 meV/atom
# * N(E_F): 1.4375 states/eV per atom
# * electronic total energy: -4.3854 eV/atom
data_Nd2Dy2Er5
_chemical_formula_sum 'Nd2 Dy2 Er5'
_cell_length_a 3.4792
_cell_length_b 8.1870
_cell_length_c 10.9147
_cell_angle_alpha 80.25
_cell_angle_beta 80.89
_cell_angle_gamma 89.79
_space_group_name_H-M_alt 'P -1'
_space_group_IT_number 2
loop_
_space_group_symop_operation_xyz
'x,y,z'
'-x,-y,-z'
loop_
_atom_site_label
_atom_site_fract_x
_atom_site_fract_y
_atom_site_fract_z
_atom_site_occupancy
Nd1 0.1839 0.1437 0.1364 1
Dy1 0.4533 0.6449 0.5936 1
Er1 0.0000 0.0000 0.5000 1
Er2 0.0936 0.7327 0.3076 1
Er3 0.3098 0.4702 0.8812 1

[10]
# AcPaRu2 PBE-GGA optimized geometry
# * energy relative to the lowest polymorph listed for this composition: 139 meV/atom
# * total magnetic moment: 0.00 μB/f.u.
# * energy of formation from the pure elements: -305 meV/atom
# * N(E_F): 0.7355 states/eV per atom
# * electronic total energy: -8.3445 eV/atom
data_AcPaRu2
_chemical_formula_sum 'Ac1 Pa1 Ru2'
_cell_length_a 3.4566
_cell_length_b 3.4566
_cell_length_c 7.5863
_cell_angle_alpha 90.00
_cell_angle_beta 90.00
_cell_angle_gamma 90.00
_space_group_name_H-M_alt 'P 4/m m m'
_space_group_IT_number 123
_space_group_name_Hall '-P 4 2'
loop_
_atom_site_label
_atom_site_fract_x
_atom_site_fract_y
_atom_site_fract_z
_atom_site_occupancy
Ac1 0.0000 0.0000 0.0000 1
Pa1 0.0000 0.0000 0.5000 1
Ru1 0.5000 0.5000 0.3081 1

[11]
# ErMg2Tl2Cd2 PBE-GGA optimized geometry
# * total magnetic moment: 0.00 μB/f.u.
# * energy of formation from the pure elements: -131 meV/atom
# * N(E_F): 0.3748 states/eV per atom
# * electronic total energy: -2.1755 eV/atom
data_ErMg2Tl2Cd2
_chemical_formula_sum 'Er2 Mg4 Tl4 Cd4'
_cell_length_a 8.6886
_cell_length_b 4.8785
_cell_length_c 8.3850
_cell_angle_alpha 90.00
_cell_angle_beta 107.54
_cell_angle_gamma 90.00
_space_group_name_H-M_alt 'C 1 2/m 1'
_space_group_IT_number 12
loop_
_space_group_symop_operation_xyz
'x,y,z'
'-x,-y,-z'
'-x,y,-z'
'x,-y,z'
'x+1/2,y+1/2,z'
'-x+1/2,-y+1/2,-z'
'-x+1/2,y+1/2,-z'
'x+1/2,-y+1/2,z'
loop_
_atom_site_label
_atom_site_fract_x
_atom_site_fract_y
_atom_site_fract_z
_atom_site_occupancy
Er1 0.0000 0.0000 0.0000 1
Mg1 0.0761 0.5000 0.7124 1
Tl1 0.2185 0.5000 0.1682 1
Cd1 0.1367 0.0000 0.4218 1

[12]
# Al2FeTc PBE-GGA optimized geometry
# * energy relative to the lowest polymorph listed for this composition: 149 meV/atom
# * total magnetic moment: 2.00 μB/f.u.
# * energy of formation from the pure elements: -156 meV/atom
# * N(E_F): 0.8180 states/eV per atom
# * electronic total energy: -6.7345 eV/atom
data_Al2FeTc
_chemical_formula_sum 'Al4 Fe2 Tc2'
_cell_length_a 8.5473
_cell_length_b 2.7187
_cell_length_c 4.8313
_cell_angle_alpha 90.00
_cell_angle_beta 100.26
_cell_angle_gamma 90.00
_space_group_name_H-M_alt 'C 1 2/m 1'
_space_group_IT_number 12
loop_
_space_group_symop_operation_xyz
'x,y,z'
'-x,-y,-z'
'-x,y,-z'
'x,-y,z'
'x+1/2,y+1/2,z'
'-x+1/2,-y+1/2,-z'
'-x+1/2,y+1/2,-z'
'x+1/2,-y+1/2,z'
loop_
_atom_site_label
_atom_site_fract_x
_atom_site_fract_y
_atom_site_fract_z
_atom_site_occupancy
Al1 0.2462 0.0000 0.2440 1
Fe1 0.0000 0.5000 0.0000 1
Tc1 0.0000 0.0000 0.5000 1

Copy entry 6 word for word.
# CdO PBE-GGA optimized geometry
# * formation energy from raw total energies: -992 meV per atom
# * total magnetic moment: 0.00 μB/f.u.
# * N(E_F): 0.1389 states/eV per atom
# * electronic total energy: -3.9289 eV/atom
data_CdO
_chemical_formula_sum 'Cd4 O4'
_cell_length_a 6.2440
_cell_length_b 6.2440
_cell_length_c 3.6704
_cell_angle_alpha 90.00
_cell_angle_beta 90.00
_cell_angle_gamma 90.00
_space_group_name_H-M_alt 'P 42/m n m'
_space_group_IT_number 136
_space_group_name_Hall '-P 4n 2n'
loop_
_atom_site_label
_atom_site_fract_x
_atom_site_fract_y
_atom_site_fract_z
_atom_site_occupancy
Cd1 0.1850 0.1850 0.0000 1
O1 0.1774 0.8226 0.0000 1

Which value of total magnetic moment does entry 1 give? 0.00 μB/f.u.